[1]
5
Lattice="5.9689 0.0000 0.0000 0.0000 5.0152 0.0000 0.0000 0.0000 5.9689" Properties=species:S:1:pos:R:3 comment="YMg2TePt, relaxed, DFT PBE" e_tot_ev_per_cell=-15.388 e_form_raw_ev_per_atom=0.690 pbc="T T T"
Pt 0.0000 2.5076 0.0000
Mg 0.0000 0.0000 2.9845
Mg 2.9845 0.0000 0.0000
Te 2.9845 2.5076 2.9845
Y 0.0000 0.0000 0.0000

---

[2]
8
Lattice="0.0000 3.2691 3.2691 3.2691 0.0000 3.2691 3.2691 3.2691 0.0000" Properties=species:S:1:pos:R:3 comment="PtC7, relaxed, DFT PBE" e_tot_ev_per_cell=-38.997 delta_e_f_ev_per_atom=3.951 pbc="T T T"
C 0.0000 1.6345 1.6345
C 3.2691 1.6345 1.6345
C 1.6345 0.0000 1.6345
C 1.6345 1.6345 3.2691
C 1.6345 1.6345 0.0000
C 3.2691 3.2691 3.2691
C 1.6345 3.2691 1.6345
Pt 0.0000 0.0000 0.0000

---

[3]
8
Lattice="-1.7457 4.1625 1.7010 -1.6279 0.3898 -2.6246 -6.6789 -4.2367 3.5132" Properties=species:S:1:pos:R:3 comment="CoGeAsPt, relaxed, DFT PBE" e_tot_ev_per_cell=-45.858 delta_e_f_ev_per_atom=-0.129 relative_energy_mev_per_atom=186.4 pbc="T T T"
Pt -1.4680 1.7038 1.1635
Pt -5.6213 -0.2197 1.6078
Ge -7.4740 -1.3949 2.5823
Ge -3.3206 0.5285 2.1381
As -4.0257 -1.8424 0.3771
As -6.5512 -4.1557 3.4460
Co -5.9871 -3.0867 1.4089
Co -1.8338 -1.1632 0.9646

---

[4]
12
Lattice="5.6832 0.0000 0.0000 0.0000 6.3613 0.0000 0.0000 -3.1806 6.2074" Properties=species:S:1:pos:R:3 comment="PuGa3PtRh, relaxed, DFT PBE" e_tot_ev_per_cell=-79.116 delta_e_f_ev_per_atom=-0.459 pbc="T T T"
Ga 1.4208 0.0000 4.4219
Ga 0.0000 5.1132 0.0000
Ga 4.2624 3.1806 1.7854
Ga 2.8416 5.1132 0.0000
Ga 0.0000 1.2481 0.0000
Ga 2.8416 1.2481 0.0000
Pt 4.2624 3.1806 4.2674
Pt 1.4208 0.0000 1.9399
Pu 1.4208 3.1806 3.4037
Pu 4.2624 0.0000 2.8036
Rh 1.4208 3.1806 0.7703
Rh 4.2624 0.0000 5.4370

---

[5]
20
Lattice="-6.9229 0.5743 -0.1064 -0.6241 -7.4526 0.3793 0.4648 0.4674 9.9470" Properties=species:S:1:pos:R:3 comment="CaNd3S6, relaxed, DFT PBE" e_tot_ev_per_cell=-118.145 e_form_raw_ev_per_atom=-1.800 pbc="T T T"
Nd -3.7735 -3.4392 0.1365
Nd -3.9562 -6.1060 7.6357
Nd -3.1259 -0.3049 2.5842
Nd -0.5310 -4.2837 2.5961
Nd 0.2324 0.2337 4.9735
Nd -6.5512 -2.1272 7.6237
S -4.8200 -2.6054 2.6077
S -2.5351 -5.6875 4.5108
S -2.6526 -5.8043 1.2075
S -5.6835 -4.2035 9.3821
S -1.2743 -2.0085 4.1369
S -5.8078 -4.4024 6.0830
S -6.1651 -6.2495 2.7127
S -4.4296 -0.6067 9.0123
S -2.2622 -3.8055 7.6122
S -1.3987 -2.2075 0.8378
S -4.5471 -0.7235 5.7091
S -0.9170 -0.1614 7.5072
Ca -3.5411 -3.2055 5.1099
Ca 0.0000 0.0000 0.0000

---

[6]
4
Lattice="13.3591 -0.0094 -0.0055 12.7801 3.8902 -0.0055 12.7801 1.8974 3.3961" Properties=species:S:1:pos:R:3 comment="BaCa2La, relaxed, DFT PBE" e_tot_ev_per_cell=-10.504 delta_e_f_ev_per_atom=0.087 relative_energy_mev_per_atom=13.4 pbc="T T T"
Ca 19.6332 2.9148 1.7076
Ca 38.7458 5.7524 3.3699
Ba 29.1895 4.3336 2.5388
La 9.7298 1.4445 0.8463

---

[7]
4
Lattice="-5.3137 1.7635 3.8264 2.2118 -5.8881 -2.5347 6.4795 -1.7472 -0.9746" Properties=species:S:1:pos:R:3 comment="HfZrHg2, relaxed, DFT PBE" e_tot_ev_per_cell=-17.214 delta_e_f_ev_per_atom=0.473 relative_energy_mev_per_atom=580.7 pbc="T T T"
Hg 2.1978 -1.9307 -0.8874
Hg 6.4936 -5.7045 -2.6219
Zr 0.0000 0.0000 0.0000
Hf 4.3457 -3.8176 -1.7546

---

[8]
4
Lattice="-2.5007 2.3943 3.5863 -2.8994 -4.0093 -0.6056 1.7914 -1.6506 2.3511" Properties=species:S:1:pos:R:3 comment="CaZnAs2, relaxed, DFT PBE" e_tot_ev_per_cell=-13.870 delta_e_f_ev_per_atom=-0.324 pbc="T T T"
Zn -0.5540 -2.8300 0.8728
As -2.7001 -0.8075 1.4904
As 0.0000 0.0000 0.0000
Ca -0.3547 0.3718 2.9687

---

[9]
12
Lattice="5.0037 0.0000 0.0000 0.0000 7.3230 0.0000 -2.5019 0.0000 6.8950" Properties=species:S:1:pos:R:3 comment="SmZnAu4, relaxed, DFT PBE" e_tot_ev_per_cell=-42.885 delta_e_f_ev_per_atom=-0.390 relative_energy_mev_per_atom=56.7 pbc="T T T"
Au 2.5019 5.4923 1.3155
Au 0.0000 1.8308 5.5795
Au 0.0000 3.1964 2.9458
Au 0.0000 0.4651 2.9458
Au 2.5019 4.1267 3.9493
Au 0.0000 0.0000 0.0000
Au 0.0000 3.6615 0.0000
Au 2.5019 6.8579 3.9493
Zn 0.0000 5.4923 1.8601
Zn 2.5019 1.8308 5.0349
Sm 0.0000 5.4923 5.3086
Sm 2.5019 1.8308 1.5864

---

[10]
6
Lattice="6.5412 0.0000 0.0000 3.2706 5.6648 0.0000 3.2706 1.8883 5.3408" Properties=species:S:1:pos:R:3 comment="NdHoTm4, relaxed, DFT PBE" e_tot_ev_per_cell=-25.544 delta_e_f_ev_per_atom=0.281 relative_energy_mev_per_atom=256.3 pbc="T T T"
Tm 4.8994 4.7244 3.3407
Tm 6.5412 3.7765 0.6597
Tm 8.1829 4.7244 3.3407
Tm 6.5412 1.8808 3.3407
Ho 0.0000 0.0000 0.0000
Nd 3.2706 1.8883 1.3352

---

[11]
14
Lattice="-0.3868 5.6848 -1.9941 -2.9189 3.2187 4.1909 4.1927 7.3544 4.6488" Properties=species:S:1:pos:R:3 comment="TcPbF5, relaxed, DFT PBE" e_tot_ev_per_cell=-75.730 e_form_raw_ev_per_atom=-2.062 pbc="T T T"
F 1.4158 8.7487 1.6884
F 0.2867 6.2928 2.7075
F 0.7803 14.4704 6.0081
F 1.7702 11.3837 6.9866
F -0.5288 7.5091 5.1571
F -1.2133 8.7283 2.2777
F 0.6003 9.9650 4.1380
F 0.1067 1.7874 0.8374
F 2.1003 7.5295 4.5679
F -0.8832 4.8741 -0.1410
Pb 0.7545 12.2803 4.9162
Pb 0.1325 3.9775 1.9294
Tc 0.4435 8.1289 3.4228
Tc 0.0000 0.0000 0.0000

---

[12]
8
Lattice="4.4818 0.0000 0.0000 2.2409 6.7218 0.1730 2.2409 1.4050 6.5756" Properties=species:S:1:pos:R:3 comment="AcSn5Ir2, relaxed, DFT PBE" e_tot_ev_per_cell=-44.087 delta_e_f_ev_per_atom=-0.280 pbc="T T T"
Sn 4.4818 6.3733 3.1917
Sn 4.4818 1.7535 3.5569
Sn 4.4818 3.8185 1.0701
Sn 2.2409 4.0634 3.3743
Sn 4.4818 4.3083 5.6784
Ir 6.7226 6.0921 5.0590
Ir 2.2409 2.0347 1.6896
Ac 0.0000 0.0000 0.0000